Y2MgZnFe after structural relaxation, computed with GGA-PBE.

```
5
Lattice="5.051 0.000 0.000 0.000 4.804 0.000 0.000 0.000 5.051" Properties=species:S:1:pos:R:3 pbc="T T T"
Y 0.000 0.000 2.526
Y 2.526 0.000 0.000
Zn 0.000 2.402 0.000
Mg 2.526 2.402 2.526
Fe 0.000 0.000 0.000
```

Results
Energy of formation   0.121 eV per atom
Magnetic moment   0.00 μB per cell
Space-group type   No. 123
Crystal system   tetragonal

***

MgZnFe2 after structural relaxation, computed with GGA-PBE.

```
4
Lattice="-1.643 2.169 -1.286 -2.345 -0.754 1.723 1.948 4.114 4.451" Properties=species:S:1:pos:R:3 pbc="T T T"
Fe 0.053 0.111 0.120
Fe -1.599 1.541 1.121
Mg 0.943 1.993 2.156
Zn -0.463 3.941 3.716
```

Results
Energy of formation   0.075 eV per atom
Magnetic moment   4.62 μB per cell
Space-group type   No. 99
Crystal system   tetragonal